Entry 1:
DFT (PBE) results for a relaxed structure of K2BaNa.

a b c (Å): 5.932 5.932 6.926
angles (deg): 90.00 90.00 90.00
Space group P4/mmm (No. 123)
Inequivalent atoms, fractional coordinates:
K 0.000 0.500 0.000
Ba 0.000 0.000 0.500
Na 0.500 0.500 0.500

Summary:
- total magnetic moment (μB per formula unit) = 0.000
- E_form (eV/atom) = 0.0917
- polymorph energy (0 for the lowest one) (meV/atom) = 51

Entry 2:
DFT (PBE) results for a relaxed structure of K14BaNa.

a b c (Å): 15.064 9.006 16.346
angles (deg): 90.00 90.00 90.00
Space group Amm2 (No. 38)
Inequivalent atoms, fractional coordinates:
K 0.000 0.000 0.000
K 0.000 0.000 0.496
K 0.000 0.246 0.248
K 0.244 0.000 0.656
K 0.255 0.249 0.905
K 0.271 0.000 0.148
K 0.500 0.245 0.754
Ba 0.500 0.000 0.505
Na 0.500 0.000 0.993

Summary:
- total magnetic moment (μB per formula unit) = 0.000
- E_form (eV/atom) = 0.0318

Q: Which value of E_form does entry 1 give?
A: 0.0917 eV/atom

Q: What is the total magnetic moment in the second record?
A: 0.000 μB per formula unit

Q: The lowest E_form belongs to which entry?
A: K14BaNa

Please write out number 2 again, unchanged.
DFT (PBE) results for a relaxed structure of K14BaNa.

a b c (Å): 15.064 9.006 16.346
angles (deg): 90.00 90.00 90.00
Space group Amm2 (No. 38)
Inequivalent atoms, fractional coordinates:
K 0.000 0.000 0.000
K 0.000 0.000 0.496
K 0.000 0.246 0.248
K 0.244 0.000 0.656
K 0.255 0.249 0.905
K 0.271 0.000 0.148
K 0.500 0.245 0.754
Ba 0.500 0.000 0.505
Na 0.500 0.000 0.993

Summary:
- total magnetic moment (μB per formula unit) = 0.000
- E_form (eV/atom) = 0.0318